# HoHfIrAu, relaxed, DFT GGA-PBE
# ρ: 15.28 Mg/m³
# E_form: -0.695 eV/atom
# V: 79.6 Å³/f.u.
# Space group: F-43m (216)
# Total energy: -7.362 eV/atom
# N(E_F): 2.86 states/eV per cell
data_HoHfIrAu
_cell_length_a 4.8290
_cell_length_b 4.8290
_cell_length_c 4.8290
_cell_angle_alpha 60.00
_cell_angle_beta 60.00
_cell_angle_gamma 60.00
_space_group_name_H-M_alt 'P 1'
_space_group_IT_number 1
loop_
_space_group_symop_operation_xyz
'x,y,z'
loop_
_atom_site_label
_atom_site_type_symbol
_atom_site_fract_x
_atom_site_fract_y
_atom_site_fract_z
Ho1 Ho 0.0000 0.0000 0.0000
Hf1 Hf 0.5000 0.5000 0.5000
Ir1 Ir 0.7500 0.7500 0.7500
Au1 Au 0.2500 0.2500 0.2500